1.
Ac6LaSm8 (PBE-GGA, optimized geometry); E_form = 0.13 eV per atom
1.0
4.7681 2.7528 7.3602
-4.7681 2.7528 7.3602
0.0000 -5.5057 7.3602
Ac La Sm
6 1 8
Direct
0.0394 0.7392 0.5888 Ac
0.2608 0.4112 0.9606 Ac
0.4112 0.9606 0.2608 Ac
0.5888 0.0394 0.7392 Ac
0.7392 0.5888 0.0394 Ac
0.9606 0.2608 0.4112 Ac
0.5000 0.5000 0.5000 La
0.0749 0.0749 0.0749 Sm
0.2053 0.2617 0.6135 Sm
0.2617 0.6135 0.2053 Sm
0.3865 0.7947 0.7383 Sm
0.6135 0.2053 0.2617 Sm
0.7383 0.3865 0.7947 Sm
0.7947 0.7383 0.3865 Sm
0.9251 0.9251 0.9251 Sm


2.
AcLaSmSn (PBE-GGA, optimized geometry); E_form = -0.23 eV per atom
1.0
0.0000 4.0318 4.0318
4.0318 0.0000 4.0318
4.0318 4.0318 0.0000
Ac La Sm Sn
1 1 1 1
Direct
0.0000 0.0000 0.0000 Ac
0.2500 0.2500 0.2500 La
0.7500 0.7500 0.7500 Sm
0.5000 0.5000 0.5000 Sn


3.
AcLaTb2Sm6 (PBE-GGA, optimized geometry); E_form = 0.12 eV per atom
1.0
4.6671 -7.7755 0.0000
4.6671 7.7755 0.0000
-1.0576 0.0000 9.7790
Ac La Tb Sm
2 2 4 12
Direct
0.0301 0.9699 0.7500 Ac
0.9699 0.0301 0.2500 Ac
0.4084 0.5916 0.2500 La
0.5916 0.4084 0.7500 La
0.1958 0.3073 0.5465 Tb
0.3073 0.1958 0.0465 Tb
0.6927 0.8042 0.9535 Tb
0.8042 0.6927 0.4535 Tb
0.0227 0.5586 0.6778 Sm
0.1190 0.7489 0.0563 Sm
0.2511 0.8810 0.4437 Sm
0.2924 0.5082 0.8800 Sm
0.4414 0.9773 0.8222 Sm
0.4918 0.7076 0.6200 Sm
0.5082 0.2924 0.3800 Sm
0.5586 0.0227 0.1778 Sm
0.7076 0.4918 0.1200 Sm
0.7489 0.1190 0.5563 Sm
0.8810 0.2511 0.9437 Sm
0.9773 0.4414 0.3222 Sm


4.
AcLa5TbSm2 (PBE-GGA, optimized geometry); E_form = 0.25 eV per atom
1.0
-4.6190 4.6190 7.8002
4.6190 -4.6190 7.8002
4.6190 4.6190 -7.8002
Ac La Tb Sm
2 10 2 4
Direct
0.2500 0.2500 0.0000 Ac
0.7500 0.7500 0.0000 Ac
0.0000 0.0000 0.0000 La
0.0673 0.5674 0.8986 La
0.1688 0.0673 0.5000 La
0.3312 0.8312 0.8986 La
0.4326 0.3312 0.5000 La
0.5000 0.5000 0.0000 La
0.5674 0.6688 0.5000 La
0.6688 0.1688 0.1014 La
0.8312 0.9326 0.5000 La
0.9326 0.4326 0.1014 La
0.2500 0.7500 0.5000 Tb
0.7500 0.2500 0.5000 Tb
0.1147 0.3853 0.5000 Sm
0.3853 0.8853 0.2707 Sm
0.6147 0.1147 0.7293 Sm
0.8853 0.6147 0.5000 Sm


5.
AcLaTb2Sm (PBE-GGA, optimized geometry); E_form = 0.36 eV per atom
1.0
3.2619 -8.8077 0.0000
3.2619 8.8077 0.0000
0.0000 0.0000 6.6302
Ac La Tb Sm
2 2 4 2
Direct
0.1565 0.8435 0.7500 Ac
0.8435 0.1565 0.2500 Ac
0.3462 0.6538 0.7500 La
0.6538 0.3462 0.2500 La
0.2469 0.2469 0.0000 Tb
0.2469 0.2469 0.5000 Tb
0.7531 0.7531 0.0000 Tb
0.7531 0.7531 0.5000 Tb
0.2199 0.7801 0.2500 Sm
0.7801 0.2199 0.7500 Sm


6.
AcLa2TbSm4 (PBE-GGA, optimized geometry); E_form = 0.03 eV per atom
1.0
5.2279 0.0000 0.0000
0.0000 5.2612 0.0000
-0.0083 0.0000 10.3909
Ac La Tb Sm
1 2 1 4
Direct
0.0000 0.0000 0.0000 Ac
0.0000 0.0000 0.5000 La
0.5000 0.5000 0.0000 La
0.5000 0.5000 0.5000 Tb
0.0003 0.5000 0.2571 Sm
0.9997 0.5000 0.7429 Sm
0.5001 0.0000 0.2568 Sm
0.4999 0.0000 0.7432 Sm


7.
Ac2La2TbSm (PBE-GGA, optimized geometry); E_form = 0.14 eV per atom
1.0
6.7589 0.0000 0.0000
0.0000 7.2887 0.0000
-0.9524 0.0000 9.3394
Ac La Tb Sm
4 4 2 2
Direct
0.1847 0.0000 0.1766 Ac
0.1847 0.5000 0.1766 Ac
0.8153 0.0000 0.8234 Ac
0.8153 0.5000 0.8234 Ac
0.0923 0.2500 0.5201 La
0.4123 0.7500 0.5051 La
0.5877 0.2500 0.4949 La
0.9077 0.7500 0.4799 La
0.3391 0.2500 0.8559 Tb
0.6609 0.7500 0.1441 Tb
0.3058 0.7500 0.8455 Sm
0.6942 0.2500 0.1545 Sm


8.
AcLa4Tb2Sm (PBE-GGA, optimized geometry); E_form = 0.03 eV per atom
1.0
5.8518 -2.6310 0.0000
5.8518 2.6310 0.0000
-4.7943 0.0000 9.4266
Ac La Tb Sm
1 4 2 1
Direct
0.0000 0.0000 0.0000 Ac
0.2469 0.2469 0.8701 La
0.2509 0.2509 0.3772 La
0.7491 0.7491 0.6228 La
0.7531 0.7531 0.1299 La
0.4992 0.4992 0.2551 Tb
0.5008 0.5008 0.7449 Tb
0.0000 0.0000 0.5000 Sm